LaTc3Au after structural relaxation. Source: Alexandria via LeMat-Bulk, functional PBE.

energy relative to the lowest polymorph listed for this composition: 467 meV/atom
formation enthalpy at 0 K: 2.0930 eV/atom
calculated total energy: -5.77 eV/atom
magnetization: 0.5829 μB per atom

a b c (Å): 4.7470 4.7470 4.7470
angles (deg): 90.00 90.00 90.00
Fractional positions:
Au  0.5000  0.5000  0.5000
Tc  0.0000  0.5000  0.0000
Tc  0.0000  0.0000  0.5000
Tc  0.5000  0.0000  0.0000
La  0.0000  0.0000  0.0000